(1)
Compound: Nd2CdPd
Source: Alexandria
Functional: PBE
Structure: optimized geometry

Lattice parameters (Å, degrees): 3.712 3.712 7.606 90.00 90.00 90.00
Atoms (fractional coordinates):
Nd 0.000 0.000 0.227
Nd 0.000 0.000 0.773
Cd 0.500 0.500 0.500
Pd 0.500 0.500 0.000

Properties
total magnetic moment	0.0	μB/f.u.
energy above the most stable polymorph in this dataset	0.0	kJ/mol of atoms
D(E_F)	3.54	states/eV/f.u.
crystal system	tetragonal

---

(2)
Compound: Nd12Cd6Pd
Source: Alexandria
Functional: PBE
Structure: optimized geometry

Lattice parameters (Å, degrees): 8.237 8.237 8.237 88.89 88.89 88.89
Atoms (fractional coordinates):
Nd 0.028 0.306 0.947
Nd 0.053 0.972 0.694
Nd 0.137 0.359 0.476
Nd 0.306 0.947 0.028
Nd 0.359 0.476 0.137
Nd 0.476 0.137 0.359
Nd 0.524 0.863 0.641
Nd 0.641 0.524 0.863
Nd 0.694 0.053 0.972
Nd 0.863 0.641 0.524
Nd 0.947 0.028 0.306
Nd 0.972 0.694 0.053
Cd 0.240 0.757 0.392
Cd 0.243 0.608 0.760
Cd 0.392 0.240 0.757
Cd 0.608 0.760 0.243
Cd 0.757 0.392 0.240
Cd 0.760 0.243 0.608
Pd 0.500 0.500 0.500

Properties
total magnetic moment	0.0	μB/f.u.
D(E_F)	26.40	states/eV/f.u.
crystal system	trigonal
VASP energy	-0.27418	Ry/atom

---

(3)
Compound: NdCd12Pd6
Source: Alexandria
Functional: PBE
Structure: optimized geometry

Lattice parameters (Å, degrees): 7.812 7.812 7.812 105.88 105.88 105.88
Atoms (fractional coordinates):
Nd 0.000 0.000 0.000
Cd 0.116 0.500 0.884
Cd 0.116 0.884 0.500
Cd 0.139 0.390 0.390
Cd 0.390 0.139 0.390
Cd 0.390 0.390 0.139
Cd 0.500 0.116 0.884
Cd 0.500 0.884 0.116
Cd 0.610 0.610 0.861
Cd 0.610 0.861 0.610
Cd 0.861 0.610 0.610
Cd 0.884 0.116 0.500
Cd 0.884 0.500 0.116
Pd 0.282 0.282 0.701
Pd 0.282 0.701 0.282
Pd 0.299 0.718 0.718
Pd 0.701 0.282 0.282
Pd 0.718 0.299 0.718
Pd 0.718 0.718 0.299

Properties
total magnetic moment	0.0	μB/f.u.
D(E_F)	9.86	states/eV/f.u.
crystal system	trigonal
VASP energy	-0.19806	Ry/atom

---

(4)
Compound: NdCd2Pd
Source: Alexandria
Functional: PBE
Structure: optimized geometry

Lattice parameters (Å, degrees): 5.510 5.510 8.588 90.00 90.00 134.97
Atoms (fractional coordinates):
Nd 0.066 0.934 0.750
Nd 0.934 0.066 0.250
Cd 0.357 0.643 0.547
Cd 0.357 0.643 0.953
Cd 0.643 0.357 0.047
Cd 0.643 0.357 0.453
Pd 0.224 0.776 0.250
Pd 0.776 0.224 0.750

Properties
total magnetic moment	0.0	μB/f.u.
D(E_F)	1.58	states/eV/f.u.
crystal system	orthorhombic
VASP energy	-0.25704	Ry/atom

---

(5)
Compound: NdCd2Pd
Source: Alexandria
Functional: PBE
Structure: optimized geometry

Lattice parameters (Å, degrees): 5.025 5.025 5.025 60.00 60.00 60.00
Atoms (fractional coordinates):
Nd 0.000 0.000 0.000
Cd 0.250 0.250 0.250
Cd 0.750 0.750 0.750
Pd 0.500 0.500 0.500

Properties
total magnetic moment	0.0	μB/f.u.
D(E_F)	4.76	states/eV/f.u.
crystal system	cubic
VASP energy	-0.24233	Ry/atom

---

(6)
Compound: Nd7Cd2Pd2
Source: Alexandria
Functional: PBE
Structure: optimized geometry

Lattice parameters (Å, degrees): 7.028 7.028 7.435 90.00 90.00 108.50
Atoms (fractional coordinates):
Nd 0.000 0.000 0.000
Nd 0.000 0.500 0.260
Nd 0.000 0.500 0.740
Nd 0.500 0.000 0.260
Nd 0.500 0.000 0.740
Nd 0.500 0.500 0.252
Nd 0.500 0.500 0.748
Cd 0.171 0.171 0.500
Cd 0.829 0.829 0.500
Pd 0.291 0.709 0.000
Pd 0.709 0.291 0.000

Properties
total magnetic moment	0.0	μB/f.u.
D(E_F)	12.59	states/eV/f.u.
crystal system	orthorhombic
VASP energy	-0.32282	Ry/atom

---

(7)
Compound: Nd2CdPd
Source: Alexandria
Functional: PBE
Structure: optimized geometry

Lattice parameters (Å, degrees): 5.290 5.290 5.290 60.00 60.00 60.00
Atoms (fractional coordinates):
Nd 0.250 0.250 0.250
Nd 0.750 0.750 0.750
Cd 0.000 0.000 0.000
Pd 0.500 0.500 0.500

Properties
total magnetic moment	0.0	μB/f.u.
energy above the most stable polymorph in this dataset	5.3	kJ/mol of atoms
D(E_F)	3.38	states/eV/f.u.
crystal system	cubic

---

(8)
Compound: Nd2Cd2Pd3
Source: Alexandria
Functional: PBE
Structure: optimized geometry

Lattice parameters (Å, degrees): 5.524 5.524 7.416 104.93 104.93 45.80
Atoms (fractional coordinates):
Nd 0.127 0.127 0.302
Nd 0.873 0.873 0.698
Cd 0.374 0.374 0.067
Cd 0.626 0.626 0.933
Pd 0.167 0.167 0.711
Pd 0.500 0.500 0.500
Pd 0.833 0.833 0.289

Properties
total magnetic moment	0.0	μB/f.u.
D(E_F)	3.39	states/eV/f.u.
crystal system	monoclinic
VASP energy	-0.33091	Ry/atom

---

(9)
Compound: Nd6CdPd3
Source: Alexandria
Functional: PBE
Structure: optimized geometry

Lattice parameters (Å, degrees): 8.332 8.332 7.917 90.00 90.00 93.81
Atoms (fractional coordinates):
Nd 0.020 0.504 0.249
Nd 0.157 0.843 0.500
Nd 0.157 0.843 0.999
Nd 0.321 0.321 0.499
Nd 0.321 0.321 0.999
Nd 0.496 0.980 0.249
Nd 0.504 0.020 0.749
Nd 0.679 0.679 0.499
Nd 0.679 0.679 0.999
Nd 0.843 0.157 0.000
Nd 0.843 0.157 0.499
Nd 0.980 0.496 0.749
Cd 0.370 0.630 0.750
Cd 0.630 0.370 0.250
Pd 0.123 0.126 0.749
Pd 0.126 0.123 0.249
Pd 0.384 0.616 0.249
Pd 0.616 0.384 0.749
Pd 0.874 0.877 0.749
Pd 0.877 0.874 0.249

Properties
total magnetic moment	0.0	μB/f.u.
D(E_F)	9.28	states/eV/f.u.
crystal system	orthorhombic
VASP energy	-0.36871	Ry/atom

---

(10)
Compound: NdCdPd4
Source: Alexandria
Functional: PBE
Structure: optimized geometry

Lattice parameters (Å, degrees): 6.741 6.741 8.139 90.00 90.00 143.31
Atoms (fractional coordinates):
Nd 0.157 0.843 0.750
Nd 0.843 0.157 0.250
Cd 0.152 0.848 0.250
Cd 0.848 0.152 0.750
Pd 0.000 0.000 0.000
Pd 0.000 0.000 0.500
Pd 0.337 0.663 0.507
Pd 0.337 0.663 0.993
Pd 0.497 0.503 0.750
Pd 0.503 0.497 0.250
Pd 0.663 0.337 0.007
Pd 0.663 0.337 0.493

Properties
total magnetic moment	0.0	μB/f.u.
D(E_F)	2.04	states/eV/f.u.
crystal system	orthorhombic
VASP energy	-0.36682	Ry/atom

---

(11)
Compound: Nd2CdPd
Source: Alexandria
Functional: PBE
Structure: optimized geometry

Lattice parameters (Å, degrees): 10.039 10.039 10.039 24.18 24.18 24.18
Atoms (fractional coordinates):
Nd 0.114 0.114 0.114
Nd 0.886 0.886 0.886
Cd 0.000 0.000 0.000
Pd 0.500 0.500 0.500

Properties
total magnetic moment	0.0	μB/f.u.
energy above the most stable polymorph in this dataset	38.4	kJ/mol of atoms
D(E_F)	3.00	states/eV/f.u.
crystal system	trigonal

---

(12)
Compound: Nd3CdPd12
Source: Alexandria
Functional: PBE
Structure: optimized geometry

Lattice parameters (Å, degrees): 4.178 4.178 16.617 90.00 90.00 90.00
Atoms (fractional coordinates):
Nd 0.000 0.000 0.000
Nd 0.000 0.000 0.257
Nd 0.000 0.000 0.743
Cd 0.000 0.000 0.500
Pd 0.000 0.500 0.127
Pd 0.000 0.500 0.383
Pd 0.000 0.500 0.617
Pd 0.000 0.500 0.873
Pd 0.500 0.000 0.127
Pd 0.500 0.000 0.383
Pd 0.500 0.000 0.617
Pd 0.500 0.000 0.873
Pd 0.500 0.500 0.000
Pd 0.500 0.500 0.254
Pd 0.500 0.500 0.500
Pd 0.500 0.500 0.746

Properties
total magnetic moment	0.0	μB/f.u.
D(E_F)	14.09	states/eV/f.u.
crystal system	tetragonal
VASP energy	-0.40224	Ry/atom

---

(13)
Compound: Nd2CdPd2Pt5
Source: Alexandria
Functional: PBE
Structure: optimized geometry

Lattice parameters (Å, degrees): 9.495 9.495 4.244 90.00 90.00 90.00
Atoms (fractional coordinates):
Nd 0.174 0.326 0.000
Nd 0.326 0.826 0.000
Nd 0.674 0.174 0.000
Nd 0.826 0.674 0.000
Cd 0.000 0.000 0.000
Cd 0.500 0.500 0.000
Pd 0.124 0.624 0.000
Pd 0.376 0.124 0.000
Pd 0.624 0.876 0.000
Pd 0.876 0.376 0.000
Pt 0.000 0.500 0.500
Pt 0.062 0.795 0.500
Pt 0.205 0.062 0.500
Pt 0.295 0.562 0.500
Pt 0.438 0.295 0.500
Pt 0.500 0.000 0.500
Pt 0.562 0.705 0.500
Pt 0.705 0.438 0.500
Pt 0.795 0.938 0.500
Pt 0.938 0.205 0.500

Properties
total magnetic moment	0.0	μB/f.u.
D(E_F)	6.45	states/eV/f.u.
crystal system	tetragonal
VASP energy	-0.42817	Ry/atom

---

(14)
Compound: NdCdPdRh
Source: Alexandria
Functional: PBE
Structure: optimized geometry

Lattice parameters (Å, degrees): 4.834 4.834 4.834 60.00 60.00 60.00
Atoms (fractional coordinates):
Nd 0.000 0.000 0.000
Cd 0.500 0.500 0.500
Pd 0.750 0.750 0.750
Rh 0.250 0.250 0.250

Properties
total magnetic moment	0.0	μB/f.u.
D(E_F)	2.88	states/eV/f.u.
crystal system	cubic
VASP energy	-0.37418	Ry/atom

---

(15)
Compound: NdSc2CdPd4
Source: Alexandria
Functional: PBE
Structure: optimized geometry

Lattice parameters (Å, degrees): 8.710 8.710 8.710 31.22 31.22 31.22
Atoms (fractional coordinates):
Nd 0.000 0.000 0.000
Sc 0.239 0.239 0.239
Sc 0.761 0.761 0.761
Cd 0.500 0.500 0.500
Pd 0.122 0.122 0.122
Pd 0.389 0.389 0.389
Pd 0.611 0.611 0.611
Pd 0.878 0.878 0.878

Properties
total magnetic moment	0.0	μB/f.u.
D(E_F)	5.81	states/eV/f.u.
crystal system	trigonal
VASP energy	-0.41247	Ry/atom

---

(16)
Compound: NdCdSi2Pd5
Source: Alexandria
Functional: PBE
Structure: optimized geometry

Lattice parameters (Å, degrees): 4.265 4.265 8.702 90.00 90.00 90.00
Atoms (fractional coordinates):
Nd 0.000 0.000 0.000
Cd 0.000 0.000 0.500
Si 0.500 0.500 0.368
Si 0.500 0.500 0.632
Pd 0.000 0.500 0.244
Pd 0.000 0.500 0.756
Pd 0.500 0.000 0.244
Pd 0.500 0.000 0.756
Pd 0.500 0.500 0.000

Properties
total magnetic moment	0.0	μB/f.u.
D(E_F)	3.58	states/eV/f.u.
crystal system	tetragonal
VASP energy	-0.39194	Ry/atom

---

(17)
Compound: NdSmCdPd
Source: Alexandria
Functional: PBE
Structure: optimized geometry

Lattice parameters (Å, degrees): 5.260 5.260 5.260 60.00 60.00 60.00
Atoms (fractional coordinates):
Nd 0.000 0.000 0.000
Sm 0.500 0.500 0.500
Cd 0.750 0.750 0.750
Pd 0.250 0.250 0.250

Properties
total magnetic moment	0.0	μB/f.u.
D(E_F)	3.18	states/eV/f.u.
crystal system	cubic
VASP energy	-0.32204	Ry/atom

---

(18)
Compound: NdCdSn2Pd5
Source: Alexandria
Functional: PBE
Structure: optimized geometry

Lattice parameters (Å, degrees): 4.237 4.237 10.245 90.00 90.00 90.00
Atoms (fractional coordinates):
Nd 0.000 0.000 0.000
Cd 0.000 0.000 0.500
Sn 0.500 0.500 0.363
Sn 0.500 0.500 0.637
Pd 0.000 0.500 0.204
Pd 0.000 0.500 0.796
Pd 0.500 0.000 0.204
Pd 0.500 0.000 0.796
Pd 0.500 0.500 0.000

Properties
total magnetic moment	0.0	μB/f.u.
D(E_F)	2.62	states/eV/f.u.
crystal system	tetragonal
VASP energy	-0.35578	Ry/atom

---

(19)
Compound: Nd2CdSn4Pd3
Source: Alexandria
Functional: PBE
Structure: optimized geometry

Lattice parameters (Å, degrees): 4.492 4.492 11.545 90.00 90.00 90.00
Atoms (fractional coordinates):
Nd 0.000 0.500 0.249
Nd 0.500 0.000 0.751
Cd 0.000 0.000 0.500
Sn 0.000 0.000 0.000
Sn 0.000 0.500 0.645
Sn 0.500 0.000 0.355
Sn 0.500 0.500 0.000
Pd 0.000 0.500 0.870
Pd 0.500 0.000 0.130
Pd 0.500 0.500 0.500

Properties
total magnetic moment	0.0	μB/f.u.
D(E_F)	3.76	states/eV/f.u.
crystal system	tetragonal
VASP energy	-0.35814	Ry/atom

---

(20)
Compound: Nd2Cd2SnPd5
Source: Alexandria
Functional: PBE
Structure: optimized geometry

Lattice parameters (Å, degrees): 10.495 10.495 3.761 90.00 90.00 90.00
Atoms (fractional coordinates):
Nd 0.170 0.330 0.000
Nd 0.330 0.830 0.000
Nd 0.670 0.170 0.000
Nd 0.830 0.670 0.000
Cd 0.130 0.630 0.000
Cd 0.370 0.130 0.000
Cd 0.630 0.870 0.000
Cd 0.870 0.370 0.000
Sn 0.000 0.000 0.000
Sn 0.500 0.500 0.000
Pd 0.000 0.500 0.500
Pd 0.039 0.802 0.500
Pd 0.198 0.039 0.500
Pd 0.302 0.539 0.500
Pd 0.461 0.302 0.500
Pd 0.500 0.000 0.500
Pd 0.539 0.698 0.500
Pd 0.698 0.461 0.500
Pd 0.802 0.961 0.500
Pd 0.961 0.198 0.500

Properties
total magnetic moment	0.0	μB/f.u.
D(E_F)	5.41	states/eV/f.u.
crystal system	tetragonal
VASP energy	-0.34207	Ry/atom